## SiPb2Se4 (PBE-GGA)

Data for a relaxed structure of SiPb2Se4.

The calculation puts the relative energy among the computed polymorphs at 78 meV/atom. The value obtained for the uncorrected formation energy is -43.5 kJ per mole of atoms. As for the electronic total energy: -29.93 eV per formula unit.

The space group is Cm (No. 8) and the conventional cell measures 7.7951, 10.4198 and 6.4721 Å, with angles of 90.00, 126.60 and 90.00 degrees. The asymmetric unit holds Si at (0.0000, 0.0000, 0.0000), Pb at (0.2492, 0.2516, 0.4959), Se at (0.3259, 0.3202, 0.9992), Se at (0.3526, 0.0000, 0.3598) and Se at (0.4957, 0.5000, 0.6401).

---

## Si2PbSe (PBE-GGA)

Data for a relaxed structure of Si2PbSe.

The calculation puts the relative energy among the computed polymorphs at 244 meV/atom. The value obtained for the uncorrected formation energy is 29.7 kJ per mole of atoms. As for the electronic total energy: -16.81 eV per formula unit.

The space group is P2/m (No. 10) and the conventional cell measures 3.9301, 5.2335 and 4.6522 Å, with angles of 90.00, 92.61 and 90.00 degrees. The asymmetric unit holds Si at (0.2344, 0.0000, 0.3474), Pb at (0.5000, 0.5000, 0.0000) and Se at (0.0000, 0.5000, 0.5000).

---

## SiPb4Se6 (PBE-GGA)

Data for a relaxed structure of SiPb4Se6.

The value obtained for the uncorrected formation energy is -46.3 kJ per mole of atoms. As for the electronic total energy: -46.44 eV per formula unit.

The space group is Cc (No. 9) and the conventional cell measures 16.1521, 7.6875 and 13.9662 Å, with angles of 90.00, 120.42 and 90.00 degrees. The asymmetric unit holds Si at (0.0000, 0.2316, 0.0000), Pb at (0.0757, 0.1319, 0.7761), Pb at (0.2166, 0.3939, 0.2642), Pb at (0.2705, 0.0684, 0.5845), Pb at (0.4545, 0.1811, 0.9103), Se at (0.1225, 0.2033, 0.3795), Se at (0.1586, 0.2522, 0.0409), Se at (0.2452, 0.2287, 0.7540), Se at (0.4078, 0.2243, 0.3122), Se at (0.4454, 0.4853, 0.0429) and Se at (0.4888, 0.0428, 0.6013).

---

## SiPbSe2 (PBE-GGA)

Data for a relaxed structure of SiPbSe2.

The calculation puts the relative energy among the computed polymorphs at 672 meV/atom. The value obtained for the uncorrected formation energy is 42.6 kJ per mole of atoms. As for the electronic total energy: -14.33 eV per formula unit.

The space group is F-43m (No. 216) and the conventional cell measures 7.1247, 7.1247 and 7.1247 Å, with angles of 90.00, 90.00 and 90.00 degrees. The asymmetric unit holds Si at (0.0000, 0.0000, 0.0000), Pb at (0.2500, 0.2500, 0.7500), Se at (0.0000, 0.0000, 0.5000) and Se at (0.2500, 0.2500, 0.2500).

---

## Si2PbSe (PBE-GGA)

Data for a relaxed structure of Si2PbSe.

The calculation puts the relative energy among the computed polymorphs at 507 meV/atom. The value obtained for the uncorrected formation energy is 55.0 kJ per mole of atoms. As for the electronic total energy: -15.76 eV per formula unit.

The space group is F-43m (No. 216) and the conventional cell measures 6.9760, 6.9760 and 6.9760 Å, with angles of 90.00, 90.00 and 90.00 degrees. The asymmetric unit holds Si at (0.0000, 0.0000, 0.0000), Si at (0.2500, 0.2500, 0.2500), Pb at (0.0000, 0.0000, 0.5000) and Se at (0.2500, 0.2500, 0.7500).

---

## SiPbSe4 (PBE-GGA)

Data for a relaxed structure of SiPbSe4.

The value obtained for the uncorrected formation energy is 57.8 kJ per mole of atoms. As for the electronic total energy: -19.47 eV per formula unit.

The space group is F-43m (No. 216) and the conventional cell measures 8.2084, 8.2084 and 8.2084 Å, with angles of 90.00, 90.00 and 90.00 degrees. The asymmetric unit holds Si at (0.0000, 0.0000, 0.0000), Pb at (0.2500, 0.2500, 0.7500) and Se at (0.1255, 0.1255, 0.3745).